Entry from OQMD: a geometry-optimized NaTmTeO structure (PBE).

Cell: 7.3644 7.4333 6.5481 Å, 90.00 99.09 90.00°
Last column: nearest neighbours and their distance in Å.
Element x y z (fractional)
Na  0.1095  0.2004  0.4667  1 O 2.39
Na  0.1095  0.2996  0.9667  1 O 2.39
Na  0.8905  0.7004  0.0333  1 O 2.39
Na  0.8905  0.7996  0.5333  1 O 2.39
Tm  0.4736  0.6254  0.7853  3 O 2.16-2.27
Tm  0.4736  0.8746  0.2853  3 O 2.16-2.27
Tm  0.5264  0.1254  0.7147  3 O 2.16-2.27
Tm  0.5264  0.3746  0.2147  3 O 2.16-2.27
Te  0.2041  0.5795  0.3585  4 Na 3.01-3.29, 3 Tm 3.05-3.18
Te  0.2041  0.9205  0.8585  4 Na 3.01-3.29, 3 Tm 3.05-3.18
Te  0.7959  0.0795  0.1415  4 Na 3.01-3.29, 3 Tm 3.05-3.18
Te  0.7959  0.4205  0.6415  4 Na 3.01-3.29, 3 Tm 3.05-3.18
O  0.4122  0.1490  0.3913  3 Tm 2.16-2.27, 1 Na 2.39
O  0.4122  0.3510  0.8913  3 Tm 2.16-2.27, 1 Na 2.39
O  0.5878  0.6490  0.1087  3 Tm 2.16-2.27, 1 Na 2.39
O  0.5878  0.8510  0.6087  3 Tm 2.16-2.27, 1 Na 2.39

calculated volume	88.5	Å³/f.u.
DFT total energy	-88.60	eV per cell